Entry 1:
Material: Tm4SiSe2S
Method: DFT, PBE
State: relaxed

Unit cell a=3.988 b=7.005 c=6.877 alpha=70.65 beta=90.00 gamma=90.00
Element x y z (fractional)
Si  0.000  0.500  0.500
Tm  0.500  0.732  0.259
Tm  0.000  0.271  0.246
Se  0.000  0.000  0.000
S  0.500  0.500  0.000
Se  0.500  0.000  0.500
Tm  0.000  0.729  0.754
Tm  0.500  0.268  0.741

Properties
Calculated volume in Å³/f.u.: 181
Symmetry: P2/m
Formation energy without anion corrections in eV per atom: -1.5831
Calculated density in g/cm3: 8.19

Entry 2:
Material: LuHfHgRh
Method: DFT, PBE
State: relaxed

Unit cell a=4.868 b=4.868 c=4.868 alpha=60.00 beta=60.00 gamma=60.00
Element x y z (fractional)
Hg  0.000  0.000  0.000
Hf  0.250  0.250  0.250
Lu  0.750  0.750  0.750
Rh  0.500  0.500  0.500

Properties
Calculated volume in Å³/f.u.: 82
Symmetry: F-43m
Energy of formation from the pure elements in eV/atom: -0.4570
Calculated density in g/cm3: 13.37

Entry 3:
Material: Pm4SnTe2
Method: DFT, PBE
State: relaxed

Unit cell a=8.455 b=8.455 c=8.452 alpha=108.83 beta=108.83 gamma=110.77
Element x y z (fractional)
Sn  0.250  0.750  0.500
Pm  0.369  0.058  0.310
Pm  0.502  0.692  0.810
Sn  0.000  0.000  0.000
Pm  0.942  0.252  0.310
Te  0.625  0.375  0.750
Pm  0.308  0.498  0.190
Te  0.625  0.875  0.250
Pm  0.942  0.631  0.690
Te  0.625  0.375  0.250
Pm  0.748  0.058  0.690
Te  0.125  0.375  0.750
Pm  0.881  0.692  0.190
Pm  0.308  0.119  0.810

Properties
Calculated volume in Å³/f.u.: 232
Symmetry: I4_1/amd
Formation energy without anion corrections in eV per atom: -0.9756
Calculated density in g/cm3: 6.81

Entry 4:
Material: RbCa2H
Method: DFT, PBE
State: relaxed

Unit cell a=7.697 b=7.697 c=7.701 alpha=60.01 beta=60.01 gamma=90.00
Element x y z (fractional)
Rb  0.750  0.250  0.500
Rb  0.000  0.000  0.000
H  0.500  0.500  0.000
Ca  0.875  0.624  0.750
Ca  0.375  0.626  0.750
Ca  0.374  0.125  0.250
H  0.250  0.750  0.500
Ca  0.376  0.625  0.250

Properties
Calculated volume in Å³/f.u.: 161
Symmetry: Fd-3m
Energy above the lowest structure with this stoichiometry in eV per atom: 0.000
Calculated density in g/cm3: 1.71

Entry 5:
Material: LaPmPrSm
Method: DFT, PBE
State: relaxed

Unit cell a=5.860 b=5.860 c=5.860 alpha=60.00 beta=60.00 gamma=60.00
Element x y z (fractional)
Pm  0.000  0.000  0.000
Pr  0.750  0.750  0.750
Sm  0.500  0.500  0.500
La  0.250  0.250  0.250

Properties
Calculated volume in Å³/f.u.: 142
Symmetry: F-43m
Energy of formation from the pure elements in eV/atom: 0.1216
Energy above the lowest structure with this stoichiometry in eV per atom: 0.100
Calculated density in g/cm3: 6.71

Entry 6:
Material: Dy2Ni4As3P
Method: DFT, PBE
State: relaxed

Unit cell a=4.114 b=4.114 c=9.305 alpha=90.00 beta=90.00 gamma=90.00
Element x y z (fractional)
Dy  0.000  0.500  0.746
As  0.500  0.000  0.867
P  0.500  0.500  0.500
Ni  0.000  0.500  0.385
Ni  0.500  0.000  0.615
As  0.000  0.500  0.133
Dy  0.500  0.000  0.254
As  0.000  0.000  0.500
Ni  0.000  0.000  0.000
Ni  0.500  0.500  0.000

Properties
Calculated volume in Å³/f.u.: 157
Symmetry: P-4m2
Energy of formation from the pure elements in eV/atom: -0.8349
Calculated density in g/cm3: 8.60